First-principles (GGA-PBE) data for an optimized crystal structure of CdGa2Pd4, as listed in the Alexandria database.

Output
- Crystal system: tetragonal
- Formation energy from the elements: 0.293 eV/atom

Cell: 4.915 4.915 7.193 Å, 70.02 70.02 90.00°
Fractional positions:
Ga (0.399, 0.399, 0.202)
Ga (0.601, 0.601, 0.798)
Pd (0.212, 0.212, 0.577)
Pd (0.788, 0.788, 0.423)
Pd (0.000, 0.500, 0.000)
Pd (0.500, 0.000, 0.000)
Cd (0.000, 0.000, 0.000)


First-principles (GGA-PBE) data for an optimized crystal structure of Pr7Dy4Y, as listed in the Alexandria database.

Output
- Crystal system: triclinic
- Formation energy from the elements: 0.008 eV/atom
- Polymorph energy (0 for the lowest one): 0.0 meV/atom

Cell: 7.348 6.376 11.668 Å, 79.55 51.02 90.00°
Fractional positions:
Pr (0.745, 0.501, 0.002)
Pr (0.255, 0.499, 0.998)
Pr (0.083, 0.280, 0.665)
Pr (0.917, 0.720, 0.335)
Pr (0.335, 0.778, 0.665)
Pr (0.500, 0.000, 0.000)
Pr (0.665, 0.222, 0.335)
Dy (0.414, 0.723, 0.333)
Dy (0.586, 0.277, 0.667)
Dy (0.835, 0.780, 0.665)
Dy (0.165, 0.220, 0.335)
Y (0.000, 0.000, 0.000)


First-principles (GGA-PBE) data for an optimized crystal structure of BaTc2Ag, as listed in the Alexandria database.

Output
- Crystal system: orthorhombic
- Formation energy from the elements: 0.712 eV/atom
- Polymorph energy (0 for the lowest one): 283.8 meV/atom

Cell: 6.547 6.547 6.547 Å, 146.60 137.70 54.94°
Site moments in Bohr magnetons follow the coordinates.
Fractional positions:
Ag (0.477, 0.477, 0.000)  0.01
Ba (0.214, 0.714, 0.500)  0.02
Tc (0.962, 0.962, 0.000)  0.01
Tc (0.848, 0.348, 0.500)  0.15


First-principles (GGA-PBE) data for an optimized crystal structure of AlSb2Br, as listed in the Alexandria database.

Output
- Formation energy (no corrections): -24.7 kJ/mol of formula units
- Crystal system: monoclinic
- Polymorph energy (0 for the lowest one): 135.0 meV/atom

Cell: 6.340 6.340 6.119 Å, 74.49 74.49 30.00°
Fractional positions:
Sb (0.010, 0.010, 0.984)
Sb (0.839, 0.839, 0.747)
Al (0.492, 0.492, 0.392)
Br (0.159, 0.159, 0.376)


Calculated volume? In order: 21.7; 34.4; 25.8; 29.5 A^3/atom.